The following is a DFT calculation (PBE-GGA) of an optimized crystal structure of Ca2LaPd2.

Size of the total moment: 0.0 μB per formula unit
Theoretical density: 5.371 g/cm3
Crystal system: tetragonal
Energy above the lowest structure with this stoichiometry: 123.4 meV/atom

a b c (Å): 4.4935 4.4935 7.3370
angles (deg): 72.17 72.17 90.00
Closest atoms and distances in Å follow each position.
Positions (direct):
Pd: 0.3990 0.3990 0.2020  1 Pd 2.67, 4 Ca 2.99
Pd: 0.6010 0.6010 0.7980  1 Pd 2.67, 4 Ca 2.99
Ca: 0.7500 0.2500 0.5000  4 Pd 2.99, 4 Ca 3.18
Ca: 0.2500 0.7500 0.5000  4 Pd 2.99, 4 Ca 3.18
La: 0.0000 0.0000 0.0000  8 Pd 3.45